# 1
# FeCo (GGA-PBE, relaxed)
# Calculated formation energy (eV per formula unit): -0.07
# ρ (Mg/m³): 8.32
data_FeCo
_cell_length_a 2.833
_cell_length_b 4.009
_cell_length_c 4.718
_cell_angle_alpha 115.01
_cell_angle_beta 107.38
_cell_angle_gamma 90.10
_symmetry_space_group_name_H-M 'P -1'
_symmetry_Int_Tables_number 2
_symmetry_space_group_name_Hall '-P 1'
loop_
_atom_site_label
_atom_site_fract_x
_atom_site_fract_y
_atom_site_fract_z
Fe1 0.125 0.375 0.250
Co1 0.377 0.127 0.754

=====

# 2
# BeBiHPbN (GGA-PBE, relaxed)
# ρ (Mg/m³): 7.78
# Offset from the most stable computed form (eV per atom): 0.229
data_BeBiHPbN
_cell_length_a 9.788
_cell_length_b 3.152
_cell_length_c 6.716
_cell_angle_alpha 90.00
_cell_angle_beta 114.91
_cell_angle_gamma 90.00
_symmetry_space_group_name_H-M 'C 1 m 1'
_symmetry_Int_Tables_number 8
_symmetry_space_group_name_Hall 'C -2y'
loop_
_atom_site_label
_atom_site_fract_x
_atom_site_fract_y
_atom_site_fract_z
Be1 0.000 0.000 0.000
Bi1 0.293 0.500 0.330
H1 0.374 0.500 0.112
Pb1 0.117 0.500 0.696
N1 0.039 0.500 0.985

=====

# 3
# NdSmDySn (GGA-PBE, relaxed)
# Calculated formation energy (eV per formula unit): -1.03
# ρ (Mg/m³): 8.10
data_NdSmDySn
_cell_length_a 7.788
_cell_length_b 7.788
_cell_length_c 7.788
_cell_angle_alpha 90.00
_cell_angle_beta 90.00
_cell_angle_gamma 90.00
_symmetry_space_group_name_H-M 'F -4 3 m'
_symmetry_Int_Tables_number 216
_symmetry_space_group_name_Hall 'F -4 2 3'
loop_
_atom_site_label
_atom_site_fract_x
_atom_site_fract_y
_atom_site_fract_z
Nd1 0.000 0.000 0.000
Sm1 0.000 0.000 0.500
Dy1 0.250 0.250 0.750
Sn1 0.250 0.250 0.250

=====

# 4
# Pm7Pr4In (GGA-PBE, relaxed)
# Calculated formation energy (eV per formula unit): 1.39
# ρ (Mg/m³): 6.61
data_Pm7Pr4In
_cell_length_a 16.372
_cell_length_b 6.084
_cell_length_c 9.503
_cell_angle_alpha 90.00
_cell_angle_beta 115.94
_cell_angle_gamma 90.00
_symmetry_space_group_name_H-M 'C 1 2/m 1'
_symmetry_Int_Tables_number 12
_symmetry_space_group_name_Hall '-C 2y'
loop_
_atom_site_label
_atom_site_fract_x
_atom_site_fract_y
_atom_site_fract_z
Pm1 0.000 0.000 0.000
Pm2 0.066 0.500 0.724
Pm3 0.156 0.500 0.340
Pm4 0.222 0.000 0.899
Pr1 0.097 0.000 0.486
Pr2 0.228 0.000 0.272
In1 0.000 0.500 0.000